Entry 1:
Density functional theory data (PBE) for a geometry-optimized KMgCd2Ir structure.

Output
Formation energy from the elements, eV/atom: -0.055
Density of states at the Fermi level, states/eV/f.u.: 2.060
Spin magnetization, μB/atom: 0.00
Crystal system: tetragonal
VASP energy, eV/cell: -13.66
ρ, g/cm3: 5.6

a = 5.316 Å, b = 5.316 Å, c = 5.036 Å
α = 90.00°, β = 90.00°, γ = 90.00°
Space group P4/mmm (No. 123)
One atom of each set of equivalent atoms:
K1 0.000 0.000 0.000 [1 per cell]
Mg1 0.500 0.500 0.000 [1 per cell]
Cd1 0.000 0.500 0.500 [2 per cell]
Ir1 0.500 0.500 0.500 [1 per cell]

***

Entry 2:
Density functional theory data (PBE) for a geometry-optimized Mn2BeReRh structure.

Output
Formation energy from the elements, eV/atom: 0.651
Density of states at the Fermi level, states/eV/f.u.: 5.419
Spin magnetization, μB/atom: 0.00
Crystal system: tetragonal
VASP energy, eV/cell: -38.61
ρ, g/cm3: 11.0

a = 3.880 Å, b = 3.880 Å, c = 4.079 Å
α = 90.00°, β = 90.00°, γ = 90.00°
Space group P4/mmm (No. 123)
One atom of each set of equivalent atoms:
Mn1 0.000 0.500 0.000 [2 per cell]
Be1 0.000 0.000 0.000 [1 per cell]
Re1 0.000 0.000 0.500 [1 per cell]
Rh1 0.500 0.500 0.500 [1 per cell]

***

Entry 3:
Density functional theory data (PBE) for a geometry-optimized BaCrP2S structure.

Output
Density of states at the Fermi level, states/eV/f.u.: 2.609
Spin magnetization, μB/atom: 0.22
Crystal system: tetragonal
Excess energy over the best structure of this formula in the dataset, kJ/mol of atoms: 0.0
Formation energy without anion corrections, eV per atom: -0.535
VASP energy, eV/cell: -29.17
ρ, g/cm3: 4.3

a = 4.473 Å, b = 4.473 Å, c = 5.432 Å
α = 90.00°, β = 90.00°, γ = 90.00°
Space group P4/mmm (No. 123)
One atom of each set of equivalent atoms:
Ba1 0.000 0.000 0.000 [1 per cell]
Cr1 0.500 0.500 0.500 [1 per cell]
P1 0.000 0.500 0.500 [2 per cell]
S1 0.500 0.500 0.000 [1 per cell]

***

Entry 4:
Density functional theory data (PBE) for a geometry-optimized Li3La2Ge4Pd structure.

Output
Formation energy from the elements, eV/atom: -0.641
Density of states at the Fermi level, states/eV/f.u.: 3.152
Spin magnetization, μB/atom: 0.00
Crystal system: tetragonal
VASP energy, eV/cell: -45.66
ρ, g/cm3: 5.9

a = 4.353 Å, b = 4.353 Å, c = 10.289 Å
α = 90.00°, β = 90.00°, γ = 90.00°
Space group P-4m2 (No. 115)
One atom of each set of equivalent atoms:
Li1 0.000 0.000 0.000 [1 per cell]
Li2 0.000 0.500 0.629 [2 per cell]
La1 0.000 0.500 0.251 [2 per cell]
Ge1 0.000 0.000 0.500 [1 per cell]
Ge2 0.000 0.500 0.873 [2 per cell]
Ge3 0.500 0.500 0.500 [1 per cell]
Pd1 0.500 0.500 0.000 [1 per cell]

***

Entry 5:
Density functional theory data (PBE) for a geometry-optimized Pm2Er6Sc structure.

Output
Formation energy from the elements, eV/atom: 0.098
Density of states at the Fermi level, states/eV/f.u.: 15.560
Spin magnetization, μB/atom: 0.00
Crystal system: monoclinic
Excess energy over the best structure of this formula in the dataset, kJ/mol of atoms: 0.0
VASP energy, eV/cell: -84.66
ρ, g/cm3: 8.1

a = 16.700 Å, b = 9.633 Å, c = 3.418 Å
α = 90.00°, β = 90.05°, γ = 90.00°
Space group C2/m (No. 12)
One atom of each set of equivalent atoms:
Pm1 0.167 0.000 0.000 [4 per cell]
Er1 0.000 0.171 0.500 [4 per cell]
Er2 0.164 0.336 0.499 [8 per cell]
Sc1 0.000 0.500 0.000 [2 per cell]

***

Entry 6:
Density functional theory data (PBE) for a geometry-optimized Li2CaMg2 structure.

Output
Formation energy from the elements, eV/atom: 0.019
Density of states at the Fermi level, states/eV/f.u.: 2.544
Spin magnetization, μB/atom: 0.00
Crystal system: monoclinic
Excess energy over the best structure of this formula in the dataset, kJ/mol of atoms: 5.6
VASP energy, eV/cell: -35.70
ρ, g/cm3: 1.3

a = 16.467 Å, b = 4.810 Å, c = 6.508 Å
α = 90.00°, β = 93.14°, γ = 90.00°
Space group C2/c (No. 15)
One atom of each set of equivalent atoms:
Li1 0.171 0.015 0.237 [8 per cell]
Ca1 0.000 0.272 0.750 [4 per cell]
Mg1 0.179 0.497 0.495 [8 per cell]